Entry from the Alexandria database: SrPrNd2Se4 after structural relaxation (PBE).

Values from the calculation:
Fermi-level density of states: 0.4097 states/eV per atom
E_form (uncorrected): -1.874 eV/atom
Energy: -0.413 Ry per atom
Volume: 27.8 Å³ per atom

a = 7.428 Å, b = 4.255 Å, c = 7.433 Å
α = 90.00°, β = 109.07°, γ = 90.00°
Space group P2/m (No. 10)
One atom of each set of equivalent atoms:
Sr1 0.000 0.000 0.000 [1 per cell]
Pr1 0.000 0.500 0.500 [1 per cell]
Nd1 0.500 0.000 0.500 [1 per cell]
Nd2 0.500 0.500 0.000 [1 per cell]
Se1 0.253 0.000 0.750 [2 per cell]
Se2 0.256 0.500 0.254 [2 per cell]